1.
VASP calculation (PBE) on a geometry-optimized Ca2ZrGe4Pt3 structure.

Cell lengths 4.2477, 4.2477, 11.1878 Å; angles 90.00, 90.00, 90.00 degrees
Positions (direct):
Ca 0.0000 0.5000 0.2450
Ca 0.5000 0.0000 0.7550
Zr 0.0000 0.0000 0.5000
Ge 0.0000 0.0000 0.0000
Ge 0.0000 0.5000 0.6512
Ge 0.5000 0.0000 0.3488
Ge 0.5000 0.5000 0.0000
Pt 0.0000 0.5000 0.8762
Pt 0.5000 0.0000 0.1238
Pt 0.5000 0.5000 0.5000

Properties
As for the space group: P-4m2 (115). The calculation puts the formation energy at -0.785 eV per atom.



2.
VASP calculation (PBE) on a geometry-optimized CaZrGe2Pt structure.

Cell lengths 5.0581, 5.0581, 4.8541 Å; angles 90.00, 90.00, 90.00 degrees
Positions (direct):
Ca 0.0000 0.0000 0.0000
Zr 0.5000 0.5000 0.5000
Ge 0.0000 0.5000 0.0000
Ge 0.5000 0.0000 0.0000
Pt 0.0000 0.0000 0.5000

Properties
As for the space group: P4/mmm (123). The calculation puts the formation energy at 0.899 eV per atom.



3.
VASP calculation (PBE) on a geometry-optimized Ca2PuGe structure.

Cell lengths 3.5195, 3.5195, 34.0689 Å; angles 90.00, 90.00, 120.00 degrees
Positions (direct):
Ca 0.0000 0.0000 0.1001
Ca 0.0000 0.0000 0.8999
Ca 0.3333 0.6667 0.5665
Ca 0.3333 0.6667 0.7668
Ca 0.6667 0.3333 0.2332
Ca 0.6667 0.3333 0.4335
Pu 0.0000 0.0000 0.0000
Pu 0.3333 0.6667 0.6667
Pu 0.6667 0.3333 0.3333
Ge 0.0000 0.0000 0.5000
Ge 0.3333 0.6667 0.1667
Ge 0.6667 0.3333 0.8333

Properties
As for the space group: R-3m (166). The calculation puts the formation energy at 0.100 eV per atom.



4.
VASP calculation (PBE) on a geometry-optimized CaPuGe2 structure.

Cell lengths 3.2826, 3.2826, 8.4177 Å; angles 90.00, 90.00, 90.00 degrees
Positions (direct):
Ca 0.0000 0.0000 0.0000
Pu 0.0000 0.0000 0.5000
Ge 0.5000 0.5000 0.2547
Ge 0.5000 0.5000 0.7453

Properties
As for the space group: P4/mmm (123). The calculation puts the formation energy at -0.463 eV per atom.



5.
VASP calculation (PBE) on a geometry-optimized CaPu4Ge5 structure.

Cell lengths 3.8216, 3.8216, 14.6331 Å; angles 90.00, 90.00, 90.00 degrees
Positions (direct):
Ca 0.0000 0.0000 0.0000
Pu 0.0000 0.0000 0.2324
Pu 0.0000 0.0000 0.4219
Pu 0.0000 0.0000 0.5781
Pu 0.0000 0.0000 0.7676
Ge 0.5000 0.5000 0.1210
Ge 0.5000 0.5000 0.3227
Ge 0.5000 0.5000 0.5000
Ge 0.5000 0.5000 0.6773
Ge 0.5000 0.5000 0.8790

Properties
As for the space group: P4/mmm (123). The calculation puts the formation energy at -0.215 eV per atom.



6.
VASP calculation (PBE) on a geometry-optimized CaPuGe structure.

Cell lengths 4.8801, 4.8801, 7.3788 Å; angles 90.00, 90.00, 90.00 degrees
Positions (direct):
Ca 0.2500 0.7500 0.0000
Ca 0.7500 0.2500 0.0000
Pu 0.2500 0.7500 0.5000
Pu 0.7500 0.2500 0.5000
Ge 0.2500 0.2500 0.2486
Ge 0.7500 0.7500 0.7514

Properties
As for the space group: P4/nmm (129). The calculation puts the formation energy at -0.303 eV per atom.



7.
VASP calculation (PBE) on a geometry-optimized CaPuGe structure.

Cell lengths 4.3576, 4.3576, 8.2965 Å; angles 90.00, 90.00, 90.00 degrees
Positions (direct):
Ca 0.2500 0.2500 0.1387
Ca 0.7500 0.7500 0.8613
Pu 0.2500 0.7500 0.5000
Pu 0.7500 0.2500 0.5000
Ge 0.2500 0.2500 0.7590
Ge 0.7500 0.7500 0.2410

Properties
As for the space group: P4/nmm (129). The calculation puts the formation energy at -0.457 eV per atom.



8.
VASP calculation (PBE) on a geometry-optimized CaPuGe structure.

Cell lengths 7.0996, 7.0996, 7.0996 Å; angles 90.00, 90.00, 90.00 degrees
Positions (direct):
Ca 0.0000 0.0000 0.0000
Ca 0.0000 0.5000 0.5000
Ca 0.5000 0.0000 0.5000
Ca 0.5000 0.5000 0.0000
Pu 0.0000 0.0000 0.5000
Pu 0.0000 0.5000 0.0000
Pu 0.5000 0.0000 0.0000
Pu 0.5000 0.5000 0.5000
Ge 0.2500 0.2500 0.7500
Ge 0.2500 0.7500 0.2500
Ge 0.7500 0.2500 0.2500
Ge 0.7500 0.7500 0.7500

Properties
As for the space group: F-43m (216). The calculation puts the formation energy at -0.232 eV per atom.



9.
VASP calculation (PBE) on a geometry-optimized CaPuGe2 structure.

Cell lengths 3.9738, 5.8553, 8.3141 Å; angles 90.00, 90.00, 90.00 degrees
Positions (direct):
Ca 0.0000 0.1334 0.0000
Ca 0.0000 0.8666 0.5000
Pu 0.5000 0.3560 0.3627
Pu 0.5000 0.6440 0.8627
Ge 0.0000 0.3931 0.6446
Ge 0.0000 0.6069 0.1446
Ge 0.5000 0.1258 0.7183
Ge 0.5000 0.8742 0.2183

Properties
As for the space group: Pmc2_1 (26). The calculation puts the formation energy at -0.506 eV per atom.



10.
VASP calculation (PBE) on a geometry-optimized CaPuGe structure.

Cell lengths 4.9963, 4.9963, 3.6078 Å; angles 90.00, 90.00, 120.00 degrees
Positions (direct):
Ca 0.0000 0.0000 0.0000
Pu 0.3333 0.6667 0.5519
Ge 0.6667 0.3333 0.2961

Properties
As for the space group: P3m1 (156). The calculation puts the formation energy at -0.133 eV per atom.



11.
VASP calculation (PBE) on a geometry-optimized CaPuGeRh structure.

Cell lengths 7.0168, 7.0168, 7.0168 Å; angles 90.00, 90.00, 90.00 degrees
Positions (direct):
Ca 0.0000 0.0000 0.0000
Ca 0.0000 0.5000 0.5000
Ca 0.5000 0.0000 0.5000
Ca 0.5000 0.5000 0.0000
Pu 0.0000 0.0000 0.5000
Pu 0.0000 0.5000 0.0000
Pu 0.5000 0.0000 0.0000
Pu 0.5000 0.5000 0.5000
Ge 0.2500 0.2500 0.7500
Ge 0.2500 0.7500 0.2500
Ge 0.7500 0.2500 0.2500
Ge 0.7500 0.7500 0.7500
Rh 0.2500 0.2500 0.2500
Rh 0.2500 0.7500 0.7500
Rh 0.7500 0.2500 0.7500
Rh 0.7500 0.7500 0.2500

Properties
As for the space group: F-43m (216). The calculation puts the formation energy at -0.343 eV per atom.



12.
VASP calculation (PBE) on a geometry-optimized CaPuSiGe structure.

Cell lengths 7.1140, 7.1140, 7.1140 Å; angles 90.00, 90.00, 90.00 degrees
Positions (direct):
Ca 0.0000 0.0000 0.0000
Ca 0.0000 0.5000 0.5000
Ca 0.5000 0.0000 0.5000
Ca 0.5000 0.5000 0.0000
Pu 0.0000 0.0000 0.5000
Pu 0.0000 0.5000 0.0000
Pu 0.5000 0.0000 0.0000
Pu 0.5000 0.5000 0.5000
Si 0.2500 0.2500 0.7500
Si 0.2500 0.7500 0.2500
Si 0.7500 0.2500 0.2500
Si 0.7500 0.7500 0.7500
Ge 0.2500 0.2500 0.2500
Ge 0.2500 0.7500 0.7500
Ge 0.7500 0.2500 0.7500
Ge 0.7500 0.7500 0.2500

Properties
As for the space group: F-43m (216). The calculation puts the raw formation energy at -0.302 eV/atom.



13.
VASP calculation (PBE) on a geometry-optimized CaPuZnGe structure.

Cell lengths 7.2164, 7.2164, 7.2164 Å; angles 90.00, 90.00, 90.00 degrees
Positions (direct):
Ca 0.0000 0.0000 0.0000
Ca 0.0000 0.5000 0.5000
Ca 0.5000 0.0000 0.5000
Ca 0.5000 0.5000 0.0000
Pu 0.0000 0.0000 0.5000
Pu 0.0000 0.5000 0.0000
Pu 0.5000 0.0000 0.0000
Pu 0.5000 0.5000 0.5000
Zn 0.2500 0.2500 0.7500
Zn 0.2500 0.7500 0.2500
Zn 0.7500 0.2500 0.2500
Zn 0.7500 0.7500 0.7500
Ge 0.2500 0.2500 0.2500
Ge 0.2500 0.7500 0.7500
Ge 0.7500 0.2500 0.7500
Ge 0.7500 0.7500 0.2500

Properties
As for the space group: F-43m (216). The calculation puts the formation energy at -0.322 eV per atom.



14.
VASP calculation (PBE) on a geometry-optimized RbCaGe2 structure.

Cell lengths 7.7202, 7.7202, 7.7202 Å; angles 90.00, 90.00, 90.00 degrees
Positions (direct):
Rb 0.0000 0.0000 0.0000
Rb 0.0000 0.5000 0.5000
Rb 0.5000 0.0000 0.5000
Rb 0.5000 0.5000 0.0000
Ca 0.0000 0.0000 0.5000
Ca 0.0000 0.5000 0.0000
Ca 0.5000 0.0000 0.0000
Ca 0.5000 0.5000 0.5000
Ge 0.2500 0.2500 0.2500
Ge 0.2500 0.2500 0.7500
Ge 0.2500 0.7500 0.2500
Ge 0.2500 0.7500 0.7500
Ge 0.7500 0.2500 0.2500
Ge 0.7500 0.2500 0.7500
Ge 0.7500 0.7500 0.2500
Ge 0.7500 0.7500 0.7500

Properties
As for the space group: Fm-3m (225). The calculation puts the formation energy at 0.091 eV per atom.



15.
VASP calculation (PBE) on a geometry-optimized RbCaGe4 structure.

Cell lengths 5.9172, 5.9172, 5.9172 Å; angles 60.00, 60.00, 60.00 degrees
Positions (direct):
Rb 0.0000 0.0000 0.0000
Ca 0.2500 0.2500 0.2500
Ge 0.1462 0.6179 0.6179
Ge 0.6179 0.1462 0.6179
Ge 0.6179 0.6179 0.1462
Ge 0.6179 0.6179 0.6179

Properties
As for the space group: F-43m (216). The calculation puts the formation energy at -0.072 eV per atom.



16.
VASP calculation (PBE) on a geometry-optimized RbCaGe2 structure.

Cell lengths 5.4006, 5.4006, 20.7211 Å; angles 90.00, 90.00, 90.00 degrees
Positions (direct):
Rb 0.0000 0.2500 0.3750
Rb 0.0000 0.7500 0.6250
Rb 0.5000 0.2500 0.1250
Rb 0.5000 0.7500 0.8750
Ca 0.0000 0.2500 0.8750
Ca 0.0000 0.7500 0.1250
Ca 0.5000 0.2500 0.6250
Ca 0.5000 0.7500 0.3750
Ge 0.0000 0.0000 0.0000
Ge 0.0000 0.5000 0.0000
Ge 0.2500 0.2500 0.7500
Ge 0.2500 0.7500 0.2500
Ge 0.5000 0.0000 0.5000
Ge 0.5000 0.5000 0.5000
Ge 0.7500 0.2500 0.7500
Ge 0.7500 0.7500 0.2500

Properties
As for the space group: I4_1/amd (141). The calculation puts the formation energy at 0.087 eV per atom.



17.
VASP calculation (PBE) on a geometry-optimized RbCaGe3 structure.

Cell lengths 5.6029, 5.6029, 5.6029 Å; angles 90.00, 90.00, 90.00 degrees
Positions (direct):
Rb 0.0000 0.0000 0.0000
Ca 0.5000 0.5000 0.5000
Ge 0.0000 0.0000 0.5000
Ge 0.0000 0.5000 0.0000
Ge 0.5000 0.0000 0.0000

Properties
As for the space group: Pm-3m (221). The calculation puts the formation energy at 1.163 eV per atom.



18.
VASP calculation (PBE) on a geometry-optimized RbCa2Ge2 structure.

Cell lengths 5.4017, 5.4017, 11.1571 Å; angles 90.00, 90.00, 90.00 degrees
Positions (direct):
Rb 0.0000 0.0000 0.0000
Rb 0.5000 0.5000 0.5000
Ca 0.0000 0.5000 0.2500
Ca 0.0000 0.5000 0.7500
Ca 0.5000 0.0000 0.2500
Ca 0.5000 0.0000 0.7500
Ge 0.0000 0.0000 0.3866
Ge 0.0000 0.0000 0.6134
Ge 0.5000 0.5000 0.1134
Ge 0.5000 0.5000 0.8866

Properties
As for the space group: I4/mmm (139). The calculation puts the formation energy at -0.254 eV per atom.



19.
VASP calculation (PBE) on a geometry-optimized RbCa2Ge2 structure.

Cell lengths 5.4663, 5.4663, 12.4452 Å; angles 90.00, 90.00, 90.00 degrees
Positions (direct):
Rb 0.0000 0.0000 0.0000
Rb 0.5000 0.5000 0.5000
Ca 0.0000 0.0000 0.3348
Ca 0.0000 0.0000 0.6652
Ca 0.5000 0.5000 0.1652
Ca 0.5000 0.5000 0.8348
Ge 0.0000 0.5000 0.2500
Ge 0.0000 0.5000 0.7500
Ge 0.5000 0.0000 0.2500
Ge 0.5000 0.0000 0.7500

Properties
As for the space group: I4/mmm (139). The calculation puts the formation energy at -0.063 eV per atom.



20.
VASP calculation (PBE) on a geometry-optimized Rb3CaGe structure.

Cell lengths 6.9212, 6.9212, 6.9212 Å; angles 90.00, 90.00, 90.00 degrees
Positions (direct):
Rb 0.0000 0.0000 0.5000
Rb 0.0000 0.5000 0.0000
Rb 0.5000 0.0000 0.0000
Ca 0.5000 0.5000 0.5000
Ge 0.0000 0.0000 0.0000

Properties
As for the space group: Pm-3m (221). The calculation puts the formation energy at 0.344 eV per atom.



Number 1: M_tot 0.00 μB/f.u.. Number 2: M_tot 0.00 μB/f.u.. Number 3: M_tot 6.20 μB/f.u.. Number 4: M_tot 5.50 μB/f.u.. Number 5: M_tot 11.03 μB/f.u.. Number 6: M_tot 6.00 μB/f.u.. Number 7: M_tot 5.99 μB/f.u.. Number 8: M_tot 6.01 μB/f.u.. Number 9: M_tot 6.05 μB/f.u.. Number 10: M_tot 6.13 μB/f.u.. Number 11: M_tot 4.96 μB/f.u.. Number 12: M_tot 5.32 μB/f.u.. Number 13: M_tot 5.97 μB/f.u.. Number 14: M_tot 0.00 μB/f.u.. Number 15: M_tot 0.00 μB/f.u.. Number 16: M_tot 0.00 μB/f.u.. Number 17: M_tot 0.00 μB/f.u.. Number 18: M_tot 0.00 μB/f.u.. Number 19: M_tot 0.00 μB/f.u.. Number 20: M_tot 1.03 μB/f.u..